## a
Compound: ZrTl2Cd
Source: Alexandria
Functional: PBEsol
Structure: optimized geometry

Lattice parameters (Å, degrees): 5.411 3.217 5.666 90.00 112.90 90.00
Positions (direct):
Zr  0.000  0.000  0.000
Tl  0.500  0.000  0.500
Tl  0.500  0.500  0.000
Cd  0.000  0.500  0.500

=====

## b
Compound: ZrTl2Cd
Source: Alexandria
Functional: PBEsol
Structure: optimized geometry

Lattice parameters (Å, degrees): 3.189 3.189 9.365 90.00 90.00 90.00
Positions (direct):
Zr  0.000  0.000  0.000
Tl  0.000  0.000  0.486
Tl  0.500  0.500  0.772
Cd  0.500  0.500  0.220

=====

## c
Compound: ZrTl2Cd
Source: Alexandria
Functional: PBEsol
Structure: optimized geometry

Lattice parameters (Å, degrees): 3.289 3.289 9.994 90.00 90.00 119.57
Positions (direct):
Zr  0.000  0.000  0.000
Tl  0.500  0.500  0.251
Tl  0.500  0.500  0.749
Cd  0.000  0.000  0.500

=====

## d
Compound: ZrTl2Cd
Source: Alexandria
Functional: PBEsol
Structure: optimized geometry

Lattice parameters (Å, degrees): 6.005 6.005 3.135 103.50 103.50 115.27
Positions (direct):
Zr  0.000  0.000  0.000
Tl  0.000  0.500  0.500
Tl  0.500  0.000  0.500
Cd  0.500  0.500  0.000

=====

Stability check: which of them is least stable? c.

=====

## a
Compound: CdW
Source: Alexandria
Functional: PBEsol
Structure: optimized geometry

Lattice parameters (Å, degrees): 2.791 2.791 9.619 90.00 90.00 109.96
Positions (direct):
Cd  0.250  0.750  0.863
Cd  0.750  0.250  0.137
W  0.250  0.750  0.391
W  0.750  0.250  0.609

=====

## b
Compound: CdW
Source: Alexandria
Functional: PBEsol
Structure: optimized geometry

Lattice parameters (Å, degrees): 2.720 4.315 5.952 90.00 90.00 90.00
Positions (direct):
Cd  0.250  0.250  0.120
Cd  0.750  0.750  0.880
W  0.250  0.250  0.599
W  0.750  0.750  0.401

=====

## c
Compound: CdW
Source: Alexandria
Functional: PBEsol
Structure: optimized geometry

Lattice parameters (Å, degrees): 5.171 5.171 5.171 31.96 31.96 31.96
Positions (direct):
Cd  0.000  0.000  0.000
W  0.500  0.500  0.500

=====

Stability check: which of them is least stable? c.

=====

## a
Compound: ZnCdW2
Source: Alexandria
Functional: PBEsol
Structure: optimized geometry

Lattice parameters (Å, degrees): 5.180 5.180 5.180 137.12 137.12 62.25
Positions (direct):
Zn  0.000  0.000  0.000
Cd  0.500  0.500  0.000
W  0.250  0.750  0.500
W  0.750  0.250  0.500

=====

## b
Compound: ZnCdW2
Source: Alexandria
Functional: PBEsol
Structure: optimized geometry

Lattice parameters (Å, degrees): 3.291 3.291 5.978 90.00 90.00 90.00
Positions (direct):
Zn  0.000  0.000  0.000
Cd  0.000  0.000  0.500
W  0.500  0.500  0.204
W  0.500  0.500  0.796

=====

Stability check: which of them is least stable? b.